(1)
Here is a geometry-optimized Hf2MoHRu structure from the Alexandria database. Energies are from PBE.

The electronic total energy comes out at -9.0293 eV/atom.

It has space group P4/mmm (No. 123), with a = 4.623 Å, b = 4.623 Å, c = 3.444 Å, α = 90.00°, β = 90.00° and γ = 90.00°. The distinct sites, in fractional coordinates, are Hf at (0.000, 0.500, 0.000), Mo at (0.000, 0.000, 0.500), H at (0.000, 0.000, 0.000) and Ru at (0.500, 0.500, 0.500).

---

(2)
Here is a geometry-optimized MgZr2Te structure from the Alexandria database. Energies are from PBE.

Its formation energy without anion corrections is -0.252 eV/atom.

It has space group Cmmm (No. 65), with a = 6.244 Å, b = 8.182 Å, c = 3.493 Å, α = 90.00°, β = 90.00° and γ = 90.00°. The distinct sites, in fractional coordinates, are Mg at (0.000, 0.000, 0.000), Zr at (0.250, 0.250, 0.500) and Te at (0.000, 0.500, 0.000).

---

(3)
Here is a geometry-optimized Ti2CuTe4 structure from the Alexandria database. Energies are from PBE.

Its formation energy without anion corrections is -0.532 eV/atom.

It has space group C2/m (No. 12), with a = 14.644 Å, b = 3.870 Å, c = 6.718 Å, α = 90.00°, β = 117.21° and γ = 90.00°. The distinct sites, in fractional coordinates, are Ti at (0.246, 0.000, 0.268), Cu at (0.000, 0.000, 0.000), Te at (0.117, 0.000, 0.461) and Te at (0.125, 0.500, 0.952).

---

(4)
Here is a geometry-optimized CdHCl2 structure from the Alexandria database. Energies are from PBE.

The electronic total energy comes out at -2.3007 eV/atom.

It has space group P1 (No. 1), with a = 4.004 Å, b = 4.010 Å, c = 6.724 Å, α = 73.07°, β = 72.77° and γ = 61.92°. The distinct sites, in fractional coordinates, are Cd at (0.000, 0.000, 0.000), H at (0.746, 0.746, 0.245), Cl at (0.234, 0.237, 0.252) and Cl at (0.718, 0.713, 0.785).

---

(5)
Here is a geometry-optimized KBa2CaI structure from the Alexandria database. Energies are from PBE.

Its formation energy without anion corrections is 0.174 eV/atom.

It has space group P4/mmm (No. 123), with a = 7.324 Å, b = 7.324 Å, c = 7.156 Å, α = 90.00°, β = 90.00° and γ = 90.00°. The distinct sites, in fractional coordinates, are K at (0.000, 0.000, 0.000), Ba at (0.000, 0.500, 0.500), Ca at (0.000, 0.000, 0.500) and I at (0.500, 0.500, 0.000).

---

(6)
Here is a geometry-optimized Y3Ho3Sc2 structure from the Alexandria database. Energies are from PBE.

The electronic total energy comes out at -5.4821 eV/atom.

It has space group R32 (No. 155, hexagonal axes), with a = 8.9184 Å, b = 8.9184 Å, c = 10.9233 Å, α = 90.00°, β = 90.00° and γ = 120.00°. The distinct sites, in fractional coordinates, are Y at (0.0000, 0.2501, 0.0000), Ho at (0.0000, 0.7503, 0.5000) and Sc at (0.0000, 0.0000, 0.2508).

---

(7)
Here is a geometry-optimized K3Bi5O12 structure from the Alexandria database. Energies are from PBE.

Its formation energy without anion corrections is -1.103 eV/atom.

It has space group Ia-3d (No. 230), with a = 14.356 Å, b = 14.356 Å, c = 14.356 Å, α = 90.00°, β = 90.00° and γ = 90.00°. The distinct sites, in fractional coordinates, are K at (0.000, 0.250, 0.125), Bi at (0.000, 0.000, 0.000), Bi at (0.000, 0.250, 0.375) and O at (0.030, 0.043, 0.643).

---

(8)
Here is a geometry-optimized TaAlPb3 structure from the Alexandria database. Energies are from PBE.

The electronic total energy comes out at -4.6412 eV/atom.

It has space group Pm-3m (No. 221), with a = 5.518 Å, b = 5.518 Å, c = 5.518 Å, α = 90.00°, β = 90.00° and γ = 90.00°. The distinct sites, in fractional coordinates, are Ta at (0.000, 0.000, 0.000), Al at (0.500, 0.500, 0.500) and Pb at (0.000, 0.000, 0.500).

---

(9)
Here is a geometry-optimized NaY3Cl structure from the Alexandria database. Energies are from PBE.

Its formation energy without anion corrections is -0.230 eV/atom.

It has space group Pm-3m (No. 221), with a = 5.307 Å, b = 5.307 Å, c = 5.307 Å, α = 90.00°, β = 90.00° and γ = 90.00°. The distinct sites, in fractional coordinates, are Na at (0.000, 0.000, 0.000), Y at (0.000, 0.500, 0.500) and Cl at (0.500, 0.500, 0.500).

---

(10)
Here is a geometry-optimized KPaSi2O8 structure from the Alexandria database. Energies are from PBE.

Its formation energy without anion corrections is -2.490 eV/atom.

It has space group P-3m1 (No. 164), with a = 5.6533 Å, b = 5.6533 Å, c = 7.6667 Å, α = 90.00°, β = 90.00° and γ = 120.00°. The distinct sites, in fractional coordinates, are K at (0.0000, 0.0000, 0.0000), Pa at (0.0000, 0.0000, 0.5000), Si at (0.3333, 0.6667, 0.2588), O at (0.1749, 0.3499, 0.3269) and O at (0.3333, 0.6667, 0.0431).

---

(11)
Here is a geometry-optimized CsSr2CaHg structure from the Alexandria database. Energies are from PBE.

The electronic total energy comes out at -1.4030 eV/atom.

It has space group P4/mmm (No. 123), with a = 6.508 Å, b = 6.508 Å, c = 6.250 Å, α = 90.00°, β = 90.00° and γ = 90.00°. The distinct sites, in fractional coordinates, are Cs at (0.000, 0.000, 0.000), Sr at (0.000, 0.500, 0.500), Ca at (0.500, 0.500, 0.000) and Hg at (0.500, 0.500, 0.500).

---

(12)
Here is a geometry-optimized NpSi2O6 structure from the Alexandria database. Energies are from PBE.

Its formation energy without anion corrections is -2.792 eV/atom.

It has space group C2/c (No. 15), with a = 10.239 Å, b = 9.698 Å, c = 5.462 Å, α = 90.00°, β = 107.88° and γ = 90.00°. The distinct sites, in fractional coordinates, are Np at (0.000, 0.121, 0.250), Si at (0.200, 0.424, 0.233), O at (0.129, 0.062, 0.661), O at (0.145, 0.499, 0.454) and O at (0.146, 0.266, 0.204).

---

What spin magnetization values result from the calculations? In sequence: 0.00 0.00 1.06 0.14 0.00 21.87 0.00 0.00 0.00 2.02 0.00 12.00 Bohr magnetons per cell.